## PrNpPt2 (PBE)

Data for an optimized crystal structure of PrNpPt2.

Properties
* relative energy among the computed polymorphs: 0.0 meV per atom
* volume: 25.145 A^3/atom
* DFT formation energy: -0.71 eV/atom

a b c (Å): 4.1857 4.1857 19.8872
angles (deg): 90.00 90.00 120.00
Space group R-3m (No. 166, hexagonal axes)
Unique sites:
1 Pr 0.0000 0.0000 0.0000 (multiplicity 3)
2 Np 0.0000 0.0000 0.5000 (multiplicity 3)
3 Pt 0.0000 0.0000 0.2411 (multiplicity 6)